Density functional theory data (GGA-PBEsol) for TcHg2Cl after structural relaxation.

Geometry as extended XYZ:
```
4
Lattice="3.9365 0.0000 0.0000 0.0000 3.9365 0.0000 -1.9683 -1.9683 4.9657" Properties=species:S:1:pos:R:3 pbc="T T T"
Cl 0.0000 0.0000 0.0000
Hg 1.9683 0.0000 2.4829
Hg 0.0000 1.9683 2.4829
Tc 1.9683 1.9683 0.0000
```

Values from the calculation:
- crystal system = tetragonal
- energy relative to the lowest polymorph listed for this composition (eV/atom) = 0.541
- raw formation energy (eV/atom) = 0.7343
- spin magnetization (μB/f.u.) = 2.62
- calculated total energy (eV for the cell shown) = -11.47



Density functional theory data (GGA-PBEsol) for YTaTc2 after structural relaxation.

Geometry as extended XYZ:
```
4
Lattice="3.1180 0.0000 0.0000 0.0000 3.9701 0.0000 0.0000 0.0000 6.0389" Properties=species:S:1:pos:R:3 pbc="T T T"
Ta 1.5590 1.9850 5.0221
Tc 0.0000 0.0000 5.9299
Tc 1.5590 1.9850 1.3324
Y 0.0000 0.0000 2.8129
```

Values from the calculation:
- crystal system = orthorhombic
- energy relative to the elements (meV per atom) = 359
- spin magnetization (μB/f.u.) = 0.00
- calculated total energy (eV for the cell shown) = -40.47



Density functional theory data (GGA-PBEsol) for YTl2Os after structural relaxation.

Geometry as extended XYZ:
```
4
Lattice="-2.4791 -0.6485 -1.9774 -1.1777 -3.0092 -0.1858 -7.3223 0.7366 6.2895" Properties=species:S:1:pos:R:3 pbc="T T T"
Os 0.0000 0.0000 0.0000
Tl -2.5731 -0.7852 0.8344
Tl -8.4060 -2.1357 3.2919
Y -5.4895 -1.4605 2.0632
```

Values from the calculation:
- crystal system = trigonal
- energy relative to the elements (meV per atom) = 488
- spin magnetization (μB/f.u.) = 0.00
- calculated total energy (eV for the cell shown) = -22.35



Density functional theory data (GGA-PBEsol) for BaY2Au after structural relaxation.

Geometry as extended XYZ:
```
4
Lattice="3.8037 0.0000 0.0000 0.0000 5.5424 0.0000 0.0000 0.0000 5.4452" Properties=species:S:1:pos:R:3 pbc="T T T"
Au 1.9018 0.0000 2.7226
Ba 0.0000 2.7712 2.7226
Y 0.0000 0.0000 0.0000
Y 1.9018 2.7712 0.0000
```

Values from the calculation:
- crystal system = orthorhombic
- energy relative to the elements (meV per atom) = -36
- energy relative to the lowest polymorph listed for this composition (eV/atom) = 0.242
- spin magnetization (μB/f.u.) = 0.00
- calculated total energy (eV for the cell shown) = -19.86



Density functional theory data (GGA-PBEsol) for SiAs2Cl after structural relaxation.

Geometry as extended XYZ:
```
4
Lattice="3.5392 0.0000 0.0000 1.7696 3.9468 -0.0164 1.7696 1.0395 6.8205" Properties=species:S:1:pos:R:3 pbc="T T T"
As 1.7696 3.8531 0.1741
As 5.3087 3.6703 5.7800
Si 1.7696 1.7103 1.3444
Cl 3.5392 2.1925 2.8913
```

Values from the calculation:
- crystal system = monoclinic
- energy relative to the lowest polymorph listed for this composition (eV/atom) = 0.000
- raw formation energy (eV/atom) = 0.0305
- spin magnetization (μB/f.u.) = 0.00
- calculated total energy (eV for the cell shown) = -17.85



Density functional theory data (GGA-PBEsol) for HfNbPS2 after structural relaxation.

Geometry as extended XYZ:
```
5
Lattice="4.7414 0.0000 0.0000 0.0000 4.7414 0.0000 0.0000 0.0000 4.9332" Properties=species:S:1:pos:R:3 pbc="T T T"
P 0.0000 0.0000 2.4666
Nb 2.3707 2.3707 2.4666
Hf 0.0000 0.0000 0.0000
S 0.0000 2.3707 0.0000
S 2.3707 0.0000 0.0000
```

Values from the calculation:
- crystal system = tetragonal
- energy relative to the lowest polymorph listed for this composition (eV/atom) = 0.116
- raw formation energy (eV/atom) = 0.1694
- spin magnetization (μB/f.u.) = 2.15
- calculated total energy (eV for the cell shown) = -35.04



Density functional theory data (GGA-PBEsol) for ScAsW2 after structural relaxation.

Geometry as extended XYZ:
```
4
Lattice="-3.0773 -1.2810 1.6782 -0.7614 -2.0934 -2.9941 4.4310 -1.8986 2.5263" Properties=species:S:1:pos:R:3 pbc="T T T"
As -1.9193 -1.6872 -0.6580
Sc 0.0000 0.0000 0.0000
W -0.2828 -2.4334 1.7733
W 0.8751 -2.8396 -0.5629
```

Values from the calculation:
- crystal system = tetragonal
- energy relative to the elements (meV per atom) = 109
- spin magnetization (μB/f.u.) = 0.00
- calculated total energy (eV for the cell shown) = -38.89



Density functional theory data (GGA-PBEsol) for Li3Fe2SnO6 after structural relaxation.

Geometry as extended XYZ:
```
12
Lattice="-0.0548 -1.5120 -2.6044 5.9157 0.8348 -0.6091 -0.3867 -4.8723 4.5784" Properties=species:S:1:pos:R:3 pbc="T T T"
Li 0.0000 0.0000 0.0000
Li 3.6697 -3.1049 1.7253
Li 1.8046 -2.4447 -0.3604
Fe 0.5775 -3.5353 2.0403
Fe 4.8968 -2.0143 -0.6753
Sn 2.9579 0.4174 -0.3045
O 2.0634 -4.2252 0.6679
O 0.3284 -1.7912 1.0330
O 3.4109 -1.3244 0.6971
O 4.3518 -0.1543 -1.7436
O 1.1225 -5.3953 3.1086
O 5.1459 -3.7583 0.3320
```

Values from the calculation:
- crystal system = monoclinic
- raw formation energy (eV/atom) = -1.6033
- spin magnetization (μB/f.u.) = 9.02
- calculated total energy (eV for the cell shown) = -78.82



Density functional theory data (GGA-PBEsol) for KNaBe2 after structural relaxation.

Geometry as extended XYZ:
```
8
Lattice="4.5233 0.0000 0.0000 0.0000 4.5233 0.0000 -2.2616 -2.2616 10.1382" Properties=species:S:1:pos:R:3 pbc="T T T"
Na 2.2616 2.2616 0.0000
Na 2.2616 0.0000 5.0691
K 0.0000 0.0000 0.0000
K 0.0000 2.2616 5.0691
Be 1.1308 0.0000 7.6036
Be -1.1308 0.0000 7.6036
Be 2.2616 3.3924 2.5345
Be 2.2616 1.1308 2.5345
```

Values from the calculation:
- crystal system = tetragonal
- energy relative to the elements (meV per atom) = 880
- spin magnetization (μB/f.u.) = 0.00
- calculated total energy (eV for the cell shown) = -14.02



Density functional theory data (GGA-PBEsol) for BaMg6Al after structural relaxation.

Geometry as extended XYZ:
```
8
Lattice="-1.7047 1.5146 4.3493 -5.6111 0.8699 -2.5022 1.0635 -7.0296 2.8649" Properties=species:S:1:pos:R:3 pbc="T T T"
Ba -4.3772 -1.5309 1.5899
Mg -3.7033 -4.7964 2.9913
Mg -1.0444 -5.2087 4.1770
Mg -4.4580 -0.2992 -1.6431
Mg -1.6557 -0.7336 -0.3935
Mg -1.0053 -3.8057 0.9313
Mg -4.1202 -4.5419 -0.0332
Al -1.2354 -0.6929 2.5295
```

Values from the calculation:
- crystal system = orthorhombic
- energy relative to the elements (meV per atom) = 57
- spin magnetization (μB/f.u.) = 0.00
- calculated total energy (eV for the cell shown) = -16.09



Density functional theory data (GGA-PBEsol) for LaCo4Ru after structural relaxation.

Geometry as extended XYZ:
```
6
Lattice="-3.6299 1.5458 2.8951 -2.4994 -3.2121 2.7171 0.5577 -0.0493 4.8614" Properties=species:S:1:pos:R:3 pbc="T T T"
Co -2.0844 -0.6418 3.9183
Co -1.8035 -0.6667 6.3663
Co -3.9123 0.1366 5.3761
Co -3.3430 -2.2593 5.2865
La -4.1787 -1.2867 7.8552
Ru 0.0000 0.0000 0.0000
```

Values from the calculation:
- crystal system = cubic
- energy relative to the elements (meV per atom) = 228
- spin magnetization (μB/f.u.) = 7.03
- calculated total energy (eV for the cell shown) = -45.10



Density functional theory data (GGA-PBEsol) for Sr2LiRuAu after structural relaxation.

Geometry as extended XYZ:
```
5
Lattice="4.9816 0.0000 0.0000 0.0000 5.6494 0.0000 0.0000 0.0000 5.6494" Properties=species:S:1:pos:R:3 pbc="T T T"
Ru 0.0000 0.0000 0.0000
Li 2.4908 2.8247 2.8247
Au 2.4908 0.0000 0.0000
Sr 0.0000 0.0000 2.8247
Sr 0.0000 2.8247 0.0000
```

Values from the calculation:
- crystal system = tetragonal
- energy relative to the elements (meV per atom) = 360
- spin magnetization (μB/f.u.) = 0.71
- calculated total energy (eV for the cell shown) = -17.94



Density functional theory data (GGA-PBEsol) for TiAlSn2Cl after structural relaxation.

Geometry as extended XYZ:
```
5
Lattice="-1.6380 -2.6625 -3.2179 -0.8727 -3.8512 3.6307 -4.9171 1.9516 0.8881" Properties=species:S:1:pos:R:3 pbc="T T T"
Al -3.7139 -2.2810 0.6505
Cl -0.8190 -1.3312 -1.6089
Sn -2.4585 0.9758 0.4441
Sn -0.4364 -1.9256 1.8153
Ti 0.0000 0.0000 0.0000
```

Values from the calculation:
- crystal system = tetragonal
- raw formation energy (eV/atom) = 0.0909
- spin magnetization (μB/f.u.) = 0.00
- calculated total energy (eV for the cell shown) = -22.49



Density functional theory data (GGA-PBEsol) for CoSeBr after structural relaxation.

Geometry as extended XYZ:
```
3
Lattice="3.4210 0.0000 0.0000 -1.7105 2.9627 0.0000 0.0000 0.0000 6.0337" Properties=species:S:1:pos:R:3 pbc="T T T"
Co 0.0000 1.9751 3.9411
Br 0.0000 0.0000 5.3941
Se 1.7105 0.9876 2.7323
```

Values from the calculation:
- crystal system = trigonal
- raw formation energy (eV/atom) = -0.3369
- spin magnetization (μB/f.u.) = 0.00
- calculated total energy (eV for the cell shown) = -14.47



Density functional theory data (GGA-PBEsol) for MgTaRh3 after structural relaxation.

Geometry as extended XYZ:
```
5
Lattice="4.6688 0.0000 0.0000 0.0000 4.6688 0.0000 0.0000 0.0000 4.6688" Properties=species:S:1:pos:R:3 pbc="T T T"
Mg 2.3344 2.3344 2.3344
Rh 0.0000 2.3344 0.0000
Rh 0.0000 0.0000 2.3344
Rh 2.3344 0.0000 0.0000
Ta 0.0000 0.0000 0.0000
```

Values from the calculation:
- crystal system = cubic
- energy relative to the elements (meV per atom) = 642
- energy relative to the lowest polymorph listed for this composition (eV/atom) = 0.000
- spin magnetization (μB/f.u.) = 0.00
- calculated total energy (eV for the cell shown) = -35.47



Density functional theory data (GGA-PBEsol) for NaHgRu2Au after structural relaxation.

Geometry as extended XYZ:
```
5
Lattice="4.5233 0.0000 0.0000 0.0000 4.5233 0.0000 0.0000 0.0000 4.6685" Properties=species:S:1:pos:R:3 pbc="T T T"
Ru 0.0000 2.2617 0.0000
Ru 2.2617 0.0000 0.0000
Au 2.2617 2.2617 2.3342
Hg 0.0000 0.0000 2.3342
Na 0.0000 0.0000 0.0000
```

Values from the calculation:
- crystal system = tetragonal
- energy relative to the elements (meV per atom) = 2082
- spin magnetization (μB/f.u.) = 3.77
- calculated total energy (eV for the cell shown) = -15.83



Density functional theory data (GGA-PBEsol) for ReP after structural relaxation.

Geometry as extended XYZ:
```
4
Lattice="2.9304 0.0000 0.0000 1.4652 2.5378 0.0000 1.4652 0.8459 7.3820" Properties=species:S:1:pos:R:3 pbc="T T T"
P 1.4652 0.8459 4.6025
P 4.3956 2.5378 2.7795
Re 2.9304 1.6919 1.1136
Re 2.9304 1.6919 6.2684
```

Values from the calculation:
- crystal system = trigonal
- energy relative to the elements (meV per atom) = -118
- energy relative to the lowest polymorph listed for this composition (eV/atom) = 0.243
- spin magnetization (μB/f.u.) = 0.00
- calculated total energy (eV for the cell shown) = -38.72



Density functional theory data (GGA-PBEsol) for KMn2Au after structural relaxation.

Geometry as extended XYZ:
```
4
Lattice="-0.3581 0.2584 2.8592 -1.4299 -5.1753 0.2887 6.0564 1.0751 -0.8023" Properties=species:S:1:pos:R:3 pbc="T T T"
Au -0.1791 0.1292 1.4296
K -0.7150 -2.5877 0.1443
Mn 2.1010 -3.2610 2.0216
Mn 2.1674 -0.5808 0.3240
```

Values from the calculation:
- crystal system = orthorhombic
- energy relative to the elements (meV per atom) = 746
- energy relative to the lowest polymorph listed for this composition (eV/atom) = 0.028
- spin magnetization (μB/f.u.) = 8.28
- calculated total energy (eV for the cell shown) = -21.60



Density functional theory data (GGA-PBEsol) for CrCuCl after structural relaxation.

Geometry as extended XYZ:
```
3
Lattice="-1.1920 2.2967 1.7001 -3.7967 -1.1200 -1.1490 1.6928 -1.6287 3.3870" Properties=species:S:1:pos:R:3 pbc="T T T"
Cr -1.1315 0.4570 3.2934
Cu -2.3656 -0.5214 0.9316
Cl -0.9908 1.9090 1.4132
```

Values from the calculation:
- crystal system = trigonal
- energy relative to the lowest polymorph listed for this composition (eV/atom) = 0.284
- raw formation energy (eV/atom) = 0.5407
- spin magnetization (μB/f.u.) = 3.78
- calculated total energy (eV for the cell shown) = -14.96



Density functional theory data (GGA-PBEsol) for ZnFeAg after structural relaxation.

Geometry as extended XYZ:
```
3
Lattice="-3.1678 -2.4245 -1.0050 0.2565 -4.0649 0.5783 -2.2280 -1.8024 2.9514" Properties=species:S:1:pos:R:3 pbc="T T T"
Ag -2.5697 -4.1459 1.2623
Fe -1.2849 -2.0729 0.6312
Zn 0.0000 0.0000 0.0000
```

Values from the calculation:
- crystal system = cubic
- energy relative to the elements (meV per atom) = 631
- energy relative to the lowest polymorph listed for this composition (eV/atom) = 0.484
- spin magnetization (μB/f.u.) = 2.66
- calculated total energy (eV for the cell shown) = -11.96